No. 1
The following is a DFT calculation (PBE) of SrTaTeN2 after structural relaxation.

Lattice parameters (Å, degrees): 4.2330 4.2330 5.6910 90.00 90.00 90.00
Closest atoms and distances in Å follow each position.
Sites, in units of the cell vectors:
1 Sr 0.0000 0.0000 0.0000  4 Te 2.99
2 Ta 0.5000 0.5000 0.5000  4 N 2.12
3 Te 0.5000 0.5000 0.0000  2 Ta 2.85, 4 Sr 2.99
4 N 0.0000 0.5000 0.5000  2 Ta 2.12
5 N 0.5000 0.0000 0.5000  2 Ta 2.12

**Formation energy without anion corrections**: -1.72 eV/f.u.
**Offset from the most stable computed form**: 0.0 meV per atom
**SG**: P4/mmm (123)

No. 2
The following is a DFT calculation (PBE) of Pu2SbAu3 after structural relaxation.

Lattice parameters (Å, degrees): 9.9017 9.1383 5.8625 79.33 65.09 35.58
Closest atoms and distances in Å follow each position.
Sites, in units of the cell vectors:
1 Pu 0.2429 0.7571 0.7571  2 Pu 3.06-3.24, 10 Au 3.21-3.29, 2 Sb 3.26
2 Pu 0.2500 0.2500 0.2500  2 Pu 3.15, 4 Sb 3.27, 8 Au 3.28
3 Pu 0.7500 0.7500 0.7500  2 Pu 3.15, 4 Sb 3.27, 8 Au 3.28
4 Pu 0.7571 0.2429 0.2429  2 Pu 3.06-3.24, 10 Au 3.21-3.29, 2 Sb 3.26
5 Sb 0.3349 0.3349 0.6651  5 Au 2.88-3.15
6 Sb 0.6651 0.6651 0.3349  5 Au 2.88-3.15
7 Au 0.1649 0.1649 0.8351  2 Au 2.83, 3 Sb 2.92-3.15
8 Au 0.1652 0.6706 0.3294  4 Au 2.82-3.15, 1 Sb 2.88
9 Au 0.3294 0.8348 0.1652  4 Au 2.82-3.15, 1 Sb 2.88
10 Au 0.6706 0.1652 0.8348  4 Au 2.82-3.15, 1 Sb 2.88
11 Au 0.8348 0.3294 0.6706  4 Au 2.82-3.15, 1 Sb 2.88
12 Au 0.8351 0.8351 0.1649  2 Au 2.83, 3 Sb 2.92-3.15

**Formation energy without anion corrections**: -3.02 eV/f.u.
**SG**: Fmmm (69)

No. 3
The following is a DFT calculation (PBE) of KLiBi2 after structural relaxation.

Lattice parameters (Å, degrees): 3.5910 3.5910 31.9469 90.00 90.00 120.00
Closest atoms and distances in Å follow each position.
Sites, in units of the cell vectors:
1 K 0.0000 0.0000 0.0000  6 K 3.59, 6 Bi 3.65
2 K 0.3333 0.6667 0.6667  6 K 3.59, 6 Bi 3.65
3 K 0.6667 0.3333 0.3333  6 K 3.59, 6 Bi 3.65
4 Li 0.0000 0.0000 0.5000  6 Bi 3.11
5 Li 0.3333 0.6667 0.1667  6 Bi 3.11
6 Li 0.6667 0.3333 0.8333  6 Bi 3.11
7 Bi 0.0000 0.0000 0.2393  3 Li 3.11
8 Bi 0.0000 0.0000 0.7607  3 Li 3.11
9 Bi 0.3333 0.6667 0.4274  3 Li 3.11
10 Bi 0.3333 0.6667 0.9059  3 Li 3.11
11 Bi 0.6667 0.3333 0.0941  3 Li 3.11
12 Bi 0.6667 0.3333 0.5726  3 Li 3.11

**Offset from the most stable computed form**: 62.3 meV per atom
**Formation enthalpy at 0 K**: -0.2291 eV/atom
**SG**: R-3m (166)

No. 4
The following is a DFT calculation (PBE) of Sm5Te2Os2 after structural relaxation.

Lattice parameters (Å, degrees): 8.9453 8.9453 7.8718 90.00 90.00 52.81
Closest atoms and distances in Å follow each position.
Sites, in units of the cell vectors:
1 Sm 0.0000 0.0000 0.0000  4 Os 3.20, 2 Te 3.37, 8 Sm 3.49-3.50
2 Sm 0.0573 0.7030 0.6745  3 Os 3.00-3.05, 2 Te 3.25-3.26
3 Sm 0.2030 0.5573 0.1745  3 Os 3.00-3.05, 2 Te 3.25-3.26
4 Sm 0.2970 0.9427 0.6745  3 Os 3.00-3.05, 2 Te 3.25-3.26
5 Sm 0.4427 0.7970 0.1745  3 Os 3.00-3.05, 2 Te 3.25-3.26
6 Sm 0.5000 0.5000 0.5000  4 Os 3.20, 2 Te 3.37, 8 Sm 3.49-3.50
7 Sm 0.5573 0.2030 0.8255  3 Os 3.00-3.05, 2 Te 3.25-3.26
8 Sm 0.7030 0.0573 0.3255  3 Os 3.00-3.05, 2 Te 3.25-3.26
9 Sm 0.7970 0.4427 0.8255  3 Os 3.00-3.05, 2 Te 3.25-3.26
10 Sm 0.9427 0.2970 0.3255  3 Os 3.00-3.05, 2 Te 3.25-3.26
11 Te 0.2104 0.2104 0.0000  7 Sm 3.25-3.37
12 Te 0.2896 0.2896 0.5000  7 Sm 3.25-3.37
13 Te 0.7104 0.7104 0.5000  7 Sm 3.25-3.37
14 Te 0.7896 0.7896 0.0000  7 Sm 3.25-3.37
15 Os 0.1132 0.8868 0.3894  1 Os 2.50
16 Os 0.3868 0.6132 0.8894  1 Os 2.50
17 Os 0.6132 0.3868 0.1106  1 Os 2.50
18 Os 0.8868 0.1132 0.6106  1 Os 2.50

**Formation energy without anion corrections**: -6.27 eV/f.u.
**SG**: Cmce (64)

No. 5
The following is a DFT calculation (PBE) of NiOs2Br after structural relaxation.

Lattice parameters (Å, degrees): 2.7458 4.5126 14.1698 90.00 90.00 90.00
Closest atoms and distances in Å follow each position.
Sites, in units of the cell vectors:
1 Ni 0.0000 0.0000 0.0000  4 Os 2.52, 6 Ni 2.64-2.75
2 Ni 0.5000 0.5000 0.0000  4 Os 2.52, 6 Ni 2.64-2.75
3 Os 0.0000 0.5000 0.1492  2 Ni 2.52, 6 Os 2.64-2.75
4 Os 0.0000 0.5000 0.8508  2 Ni 2.52, 6 Os 2.64-2.75
5 Os 0.5000 0.0000 0.1492  2 Ni 2.52, 6 Os 2.64-2.75
6 Os 0.5000 0.0000 0.8508  2 Ni 2.52, 6 Os 2.64-2.75
7 Br 0.0000 0.0000 0.5000  6 Br 2.64-2.75
8 Br 0.5000 0.5000 0.5000  6 Br 2.64-2.75

**Formation energy without anion corrections**: 3.91 eV/f.u.
**Offset from the most stable computed form**: 349.2 meV per atom
**SG**: Cmmm (65)

No. 6
The following is a DFT calculation (PBE) of TlHgSb after structural relaxation.

Lattice parameters (Å, degrees): 5.3704 5.3704 3.4244 90.00 90.00 120.00
Closest atoms and distances in Å follow each position.
Sites, in units of the cell vectors:
1 Tl 0.0000 0.0000 0.0000  2 Tl 3.42, 6 Hg 3.54, 6 Sb 3.54
2 Hg 0.6667 0.3333 0.5000  3 Sb 3.10, 2 Hg 3.42
3 Sb 0.3333 0.6667 0.5000  3 Hg 3.10, 2 Sb 3.42

**Formation energy without anion corrections**: 0.13 eV/f.u.
**SG**: P-6m2 (187)

No. 7
The following is a DFT calculation (PBE) of TeCl3 after structural relaxation.

Lattice parameters (Å, degrees): 3.6537 6.9554 9.5615 90.00 90.00 90.00
Closest atoms and distances in Å follow each position.
Sites, in units of the cell vectors:
1 Te 0.0000 0.0000 0.0000  4 Cl 2.62
2 Te 0.5000 0.5000 0.0000  4 Cl 2.62
3 Cl 0.0000 0.0000 0.5000  6 Cl 3.43-3.65
4 Cl 0.0000 0.5000 0.1965  2 Te 2.62
5 Cl 0.0000 0.5000 0.8035  2 Te 2.62
6 Cl 0.5000 0.0000 0.1965  2 Te 2.62
7 Cl 0.5000 0.0000 0.8035  2 Te 2.62
8 Cl 0.5000 0.5000 0.5000  6 Cl 3.43-3.65

**Formation energy without anion corrections**: -0.08 eV/f.u.
**Offset from the most stable computed form**: 399.5 meV per atom
**SG**: Cmmm (65)

No. 8
The following is a DFT calculation (PBE) of Y6RuRh3 after structural relaxation.

Lattice parameters (Å, degrees): 8.1547 12.1345 4.7784 90.00 90.00 90.00
Closest atoms and distances in Å follow each position.
Sites, in units of the cell vectors:
1 Y 0.0044 0.2449 0.0000  4 Rh 2.92-2.97, 1 Ru 3.10
2 Y 0.1580 0.4110 0.5000  2 Ru 2.92, 3 Rh 2.94-2.99
3 Y 0.1749 0.0786 0.5000  1 Ru 2.82, 4 Rh 2.94-2.95
4 Y 0.3251 0.5786 0.0000  1 Ru 2.82, 4 Rh 2.94-2.95
5 Y 0.3420 0.9110 0.0000  2 Ru 2.92, 3 Rh 2.94-2.99
6 Y 0.4956 0.7449 0.5000  4 Rh 2.92-2.97, 1 Ru 3.10
7 Y 0.5044 0.2551 0.5000  4 Rh 2.92-2.97, 1 Ru 3.10
8 Y 0.6580 0.0890 0.0000  2 Ru 2.92, 3 Rh 2.94-2.99
9 Y 0.6749 0.4214 0.0000  1 Ru 2.82, 4 Rh 2.94-2.95
10 Y 0.8251 0.9214 0.5000  1 Ru 2.82, 4 Rh 2.94-2.95
11 Y 0.8420 0.5890 0.5000  2 Ru 2.92, 3 Rh 2.94-2.99
12 Y 0.9956 0.7551 0.0000  4 Rh 2.92-2.97, 1 Ru 3.10
13 Ru 0.0000 0.5000 0.0000  8 Y 2.82-3.10
14 Ru 0.5000 0.0000 0.5000  8 Y 2.82-3.10
15 Rh 0.0000 0.0000 0.0000  8 Y 2.94-2.99
16 Rh 0.1638 0.8361 0.5000  7 Y 2.92-2.95
17 Rh 0.3362 0.3361 0.0000  7 Y 2.92-2.95
18 Rh 0.5000 0.5000 0.5000  8 Y 2.94-2.99
19 Rh 0.6638 0.6639 0.0000  7 Y 2.92-2.95
20 Rh 0.8362 0.1639 0.5000  7 Y 2.92-2.95

**Formation enthalpy at 0 K**: -0.5186 eV/atom
**SG**: Pnnm (58)

No. 9
The following is a DFT calculation (PBE) of TcAsCl4 after structural relaxation.

Lattice parameters (Å, degrees): 5.7939 5.7939 5.7939 60.00 60.00 60.00
Closest atoms and distances in Å follow each position.
Sites, in units of the cell vectors:
1 Tc 0.0000 0.0000 0.0000  12 Cl 3.39, 4 As 3.55
2 As 0.7500 0.7500 0.7500  12 Cl 3.40, 4 Tc 3.55
3 Cl 0.3739 0.3739 0.3739  6 Cl 2.87-2.92
4 Cl 0.3739 0.3739 0.8782  6 Cl 2.87-2.92
5 Cl 0.3739 0.8782 0.3739  6 Cl 2.87-2.92
6 Cl 0.8782 0.3739 0.3739  6 Cl 2.87-2.92

**Formation energy without anion corrections**: 6.96 eV/f.u.
**SG**: F-43m (216)

No. 10
The following is a DFT calculation (PBE) of La2SeN after structural relaxation.

Lattice parameters (Å, degrees): 6.9629 6.9629 6.9629 90.00 90.00 90.00
Closest atoms and distances in Å follow each position.
Sites, in units of the cell vectors:
1 La 0.2500 0.2500 0.2500  4 Se 3.02, 4 N 3.02
2 La 0.2500 0.2500 0.7500  4 Se 3.02, 4 N 3.02
3 La 0.2500 0.7500 0.2500  4 Se 3.02, 4 N 3.02
4 La 0.2500 0.7500 0.7500  4 Se 3.02, 4 N 3.02
5 La 0.7500 0.2500 0.2500  4 Se 3.02, 4 N 3.02
6 La 0.7500 0.2500 0.7500  4 Se 3.02, 4 N 3.02
7 La 0.7500 0.7500 0.2500  4 Se 3.02, 4 N 3.02
8 La 0.7500 0.7500 0.7500  4 Se 3.02, 4 N 3.02
9 Se 0.0000 0.0000 0.0000  8 La 3.02
10 Se 0.0000 0.5000 0.5000  8 La 3.02
11 Se 0.5000 0.0000 0.5000  8 La 3.02
12 Se 0.5000 0.5000 0.0000  8 La 3.02
13 N 0.0000 0.0000 0.5000  8 La 3.02
14 N 0.0000 0.5000 0.0000  8 La 3.02
15 N 0.5000 0.0000 0.0000  8 La 3.02
16 N 0.5000 0.5000 0.5000  8 La 3.02

**Formation energy without anion corrections**: -3.83 eV/f.u.
**Offset from the most stable computed form**: 701.7 meV per atom
**SG**: Fm-3m (225)